(1)
FeAsBr2 | the Alexandria database | PBE | optimized geometry; final energy = -3.90 eV per atom
1.0
4.275 0.000 0.000
0.000 4.299 0.000
0.000 0.000 10.115
Fe As Br
2 2 4
Cartesian
0.000 0.000 0.000
2.137 2.149 0.000
0.000 2.149 8.630
2.137 0.000 8.630
0.000 0.000 5.379
0.000 2.149 1.658
2.137 0.000 1.658
2.137 2.149 5.379

(2)
FeAsBr2 | the Alexandria database | PBE | optimized geometry; final energy = -4.06 eV per atom
1.0
4.632 0.000 0.000
0.000 3.536 0.000
-2.292 0.000 7.360
Fe As Br
1 1 2
Cartesian
0.000 0.000 0.000
2.316 0.000 0.000
0.000 1.768 1.860
2.340 1.768 5.500

(3)
FeAsBr2 | the Alexandria database | PBE | optimized geometry; final energy = -4.05 eV per atom
1.0
15.333 0.000 0.000
0.000 3.335 0.000
-0.578 0.000 4.081
Fe As Br
2 2 4
Cartesian
0.000 0.000 0.000
7.666 1.668 0.000
-0.289 1.668 2.040
7.377 0.000 2.040
2.036 1.668 0.802
5.053 0.000 3.279
9.702 0.000 0.802
12.719 1.668 3.279

(4)
FeAsBr2 | the Alexandria database | PBE | optimized geometry; final energy = -4.09 eV per atom
1.0
3.718 0.000 0.000
0.000 3.407 0.000
-1.526 0.000 7.607
Fe As Br
1 1 2
Cartesian
0.000 0.000 0.000
0.114 1.703 7.008
-0.171 1.703 1.861
1.728 0.000 5.176

(5)
FeAsBr | the Alexandria database | PBE | optimized geometry; final energy = -4.72 eV per atom
1.0
3.859 0.000 0.000
0.000 5.118 0.000
0.000 0.000 13.094
Fe As Br
4 4 4
Cartesian
0.000 0.000 0.000
0.000 2.559 6.547
1.930 0.000 6.547
1.930 2.559 0.000
0.000 0.000 7.984
0.000 2.559 1.437
1.930 0.000 1.437
1.930 2.559 7.984
0.000 0.000 4.851
0.000 2.559 11.398
1.930 0.000 11.398
1.930 2.559 4.851

(6)
FeAsBr2 | the Alexandria database | PBE | optimized geometry; final energy = -3.59 eV per atom
1.0
3.330 0.000 0.000
0.000 4.384 0.000
0.000 0.000 6.263
Fe As Br
1 1 2
Cartesian
0.000 0.000 0.000
1.665 0.000 3.131
0.000 2.192 3.131
1.665 2.192 0.000

(7)
FeAsBr2 | the Alexandria database | PBE | optimized geometry; final energy = -3.73 eV per atom
1.0
3.127 0.000 0.000
0.000 3.127 0.000
0.000 0.000 11.247
Fe As Br
1 1 2
Cartesian
0.000 0.000 0.000
0.000 0.000 5.624
1.563 1.563 1.629
1.563 1.563 9.618

(8)
FeAsBr2 | the Alexandria database | PBE | optimized geometry; final energy = -3.65 eV per atom
1.0
6.458 0.000 0.000
0.000 7.957 0.000
-3.218 0.000 3.717
Fe As Br
2 2 4
Cartesian
0.000 0.000 0.000
3.229 3.979 0.000
0.000 3.979 0.000
3.229 0.000 0.000
0.005 1.989 1.859
0.005 5.968 1.859
3.234 1.989 1.859
3.234 5.968 1.859

(9)
FeAsBr | the Alexandria database | PBE | optimized geometry; final energy = -4.71 eV per atom
1.0
3.070 0.000 0.000
0.000 3.070 0.000
0.000 0.000 13.085
Fe As Br
2 2 2
Cartesian
0.000 0.000 0.000
1.535 1.535 6.542
0.000 0.000 5.090
1.535 1.535 11.632
0.000 0.000 8.212
1.535 1.535 1.669

(10)
FeAsBr3 | the Alexandria database | PBE | optimized geometry; final energy = -3.15 eV per atom
1.0
4.832 0.000 0.000
0.000 4.832 0.000
0.000 0.000 4.832
Fe As Br
1 1 3
Cartesian
0.000 0.000 0.000
2.416 2.416 2.416
0.000 0.000 2.416
0.000 2.416 0.000
2.416 0.000 0.000

(11)
FeAsBr2 | the Alexandria database | PBE | optimized geometry; final energy = -4.11 eV per atom
1.0
3.408 0.000 0.000
0.000 5.247 0.000
0.000 0.000 13.438
Fe As Br
2 2 4
Cartesian
0.000 0.000 0.000
1.704 2.624 6.719
0.000 2.624 8.466
1.704 0.000 1.747
0.000 0.000 7.714
0.000 2.624 4.951
1.704 0.000 11.670
1.704 2.624 0.995

(12)
FeAsBr2 | the Alexandria database | PBE | optimized geometry; final energy = -4.16 eV per atom
1.0
3.536 0.000 0.000
-1.768 3.063 0.000
0.000 0.000 25.878
Fe As Br
3 3 6
Cartesian
0.000 0.000 0.000
0.000 2.042 17.252
1.768 1.021 8.626
0.000 0.000 18.695
0.000 2.042 10.069
1.768 1.021 1.443
0.000 0.000 7.089
0.000 0.000 12.109
0.000 2.042 3.483
0.000 2.042 24.341
1.768 1.021 15.715
1.768 1.021 20.735

(13)
FeAsBr3 | the Alexandria database | PBE | optimized geometry; final energy = -3.10 eV per atom
1.0
5.355 0.000 0.000
0.000 5.355 0.000
0.000 0.000 5.355
Fe As Br
1 1 3
Cartesian
0.000 0.000 0.000
2.678 2.678 2.678
0.000 2.678 2.678
2.678 0.000 2.678
2.678 2.678 0.000

(14)
FeAs4Br | the Alexandria database | PBE | optimized geometry; final energy = -4.15 eV per atom
1.0
0.000 4.098 4.098
4.098 0.000 4.098
4.098 4.098 0.000
Fe As Br
1 4 1
Cartesian
0.000 0.000 0.000
3.202 3.202 3.202
4.994 4.994 3.202
4.994 3.202 4.994
3.202 4.994 4.994
6.147 6.147 6.147

(15)
FeAsBr | the Alexandria database | PBE | optimized geometry; final energy = -4.88 eV per atom
1.0
3.610 0.000 0.000
-1.805 3.127 0.000
0.000 0.000 5.804
Fe As Br
1 1 1
Cartesian
0.000 0.000 0.000
0.000 2.084 0.874
1.805 1.042 4.203

(16)
FeAsBr2 | the Alexandria database | PBE | optimized geometry; final energy = -3.89 eV per atom
1.0
3.399 0.000 0.000
-1.699 2.943 0.000
0.000 0.000 33.861
Fe As Br
3 3 6
Cartesian
0.000 0.000 0.000
0.000 1.962 22.574
1.699 0.981 11.287
0.000 0.000 16.930
0.000 1.962 5.643
1.699 0.981 28.217
0.000 0.000 9.643
0.000 0.000 24.217
0.000 1.962 12.930
0.000 1.962 32.217
1.699 0.981 1.644
1.699 0.981 20.930

(17)
FeAs3Br | the Alexandria database | PBE | optimized geometry; final energy = -4.42 eV per atom
1.0
4.676 0.000 0.000
0.000 4.676 0.000
0.000 0.000 4.676
Fe As Br
1 3 1
Cartesian
0.000 0.000 0.000
0.000 0.000 2.338
0.000 2.338 0.000
2.338 0.000 0.000
2.338 2.338 2.338

(18)
FeAsBr2 | the Alexandria database | PBE | optimized geometry; final energy = -4.16 eV per atom
1.0
3.543 0.000 0.000
0.000 3.543 0.000
0.000 0.000 8.520
Fe As Br
1 1 2
Cartesian
0.000 0.000 0.000
1.772 1.772 7.912
0.000 0.000 2.295
1.772 1.772 5.555

(19)
FeAsBr2 | the Alexandria database | PBE | optimized geometry; final energy = -3.36 eV per atom
1.0
4.861 0.000 0.000
0.000 4.861 0.000
0.000 0.000 7.208
Fe As Br
2 2 4
Cartesian
0.000 0.000 0.000
2.431 2.431 3.604
0.000 2.431 5.406
2.431 0.000 1.802
0.000 0.000 3.604
0.000 2.431 1.802
2.431 0.000 5.406
2.431 2.431 0.000

(20)
FeAs2HBr | the Alexandria database | PBE | optimized geometry; final energy = -3.85 eV per atom
1.0
4.442 0.000 0.000
0.000 4.442 0.000
0.000 0.000 5.423
Fe As H Br
1 2 1 1
Cartesian
0.000 0.000 0.000
0.000 2.221 0.000
2.221 0.000 0.000
2.221 2.221 2.712
0.000 0.000 2.712